Density functional theory data (GGA-PBE) for a relaxed structure of Cd2In7Ag2.

Computed properties:
symmetry: C2/m (12)
calculated formation energy: 0.056 eV/atom
calculated volume: 282.3 Å³ per cell

Cell lengths 7.193, 7.193, 6.038 Å; angles 107.98, 107.98, 87.09 degrees
Fractional positions:
Cd 0.154 0.846 0.000
Cd 0.846 0.154 0.000
In 0.000 0.000 0.500
In 0.017 0.568 0.278
In 0.432 0.983 0.722
In 0.464 0.464 0.213
In 0.536 0.536 0.787
In 0.568 0.017 0.278
In 0.983 0.432 0.722
Ag 0.246 0.246 0.399
Ag 0.754 0.754 0.601

Density functional theory data (GGA-PBE) for a relaxed structure of Cd5In2Ag.

Computed properties:
symmetry: Cm (8)
calculated formation energy: 0.048 eV/atom
calculated volume: 197.7 Å³ per cell

Cell lengths 5.548, 5.548, 7.184 Å; angles 107.17, 107.17, 95.59 degrees
Fractional positions:
Cd 0.000 0.000 0.000
Cd 0.244 0.244 0.758
Cd 0.359 0.730 0.683
Cd 0.730 0.359 0.683
Cd 0.800 0.800 0.514
In 0.191 0.602 0.215
In 0.602 0.191 0.215
Ag 0.653 0.653 0.073

Density functional theory data (GGA-PBE) for a relaxed structure of Cd8InAg6.

Computed properties:
symmetry: R-3 (148)
calculated formation energy: -0.012 eV/atom
calculated volume: 331.7 Å³ per cell

Cell lengths 7.455, 7.455, 7.455 Å; angles 66.11, 66.11, 66.11 degrees
Fractional positions:
Cd 0.041 0.379 0.715
Cd 0.169 0.169 0.169
Cd 0.285 0.959 0.621
Cd 0.379 0.715 0.041
Cd 0.621 0.285 0.959
Cd 0.715 0.041 0.379
Cd 0.831 0.831 0.831
Cd 0.959 0.621 0.285
In 0.500 0.500 0.500
Ag 0.119 0.786 0.451
Ag 0.214 0.549 0.881
Ag 0.451 0.119 0.786
Ag 0.549 0.881 0.214
Ag 0.786 0.451 0.119
Ag 0.881 0.214 0.549

Please write out number 3 again, unchanged.
Density functional theory data (GGA-PBE) for a relaxed structure of Cd8InAg6.

Computed properties:
symmetry: R-3 (148)
calculated formation energy: -0.012 eV/atom
calculated volume: 331.7 Å³ per cell

Cell lengths 7.455, 7.455, 7.455 Å; angles 66.11, 66.11, 66.11 degrees
Fractional positions:
Cd 0.041 0.379 0.715
Cd 0.169 0.169 0.169
Cd 0.285 0.959 0.621
Cd 0.379 0.715 0.041
Cd 0.621 0.285 0.959
Cd 0.715 0.041 0.379
Cd 0.831 0.831 0.831
Cd 0.959 0.621 0.285
In 0.500 0.500 0.500
Ag 0.119 0.786 0.451
Ag 0.214 0.549 0.881
Ag 0.451 0.119 0.786
Ag 0.549 0.881 0.214
Ag 0.786 0.451 0.119
Ag 0.881 0.214 0.549